(i)
MgBeAlCo | GGA-PBE | optimized geometry

Cell: 4.1435 4.1435 4.1435 Å, 60.00 60.00 60.00°
With the nearest neighbours (Å) after each atom.
Element x y z (fractional)
1 Mg 0.5000 0.5000 0.5000  4 Al 2.54, 4 Be 2.54
2 Be 0.7500 0.7500 0.7500  4 Co 2.54, 4 Mg 2.54
3 Co 0.0000 0.0000 0.0000  4 Be 2.54, 4 Al 2.54
4 Al 0.2500 0.2500 0.2500  4 Mg 2.54, 4 Co 2.54

Values from the calculation:
Symmetry ... No. 216
Magnetization ... 0.0 μB/f.u.

***

(ii)
MgBeAlCo | GGA-PBE | optimized geometry

Cell: 4.1493 4.1493 4.1493 Å, 60.00 60.00 60.00°
With the nearest neighbours (Å) after each atom.
Element x y z (fractional)
1 Al 0.0000 0.0000 0.0000  4 Be 2.54, 4 Co 2.54
2 Be 0.2500 0.2500 0.2500  4 Mg 2.54, 4 Al 2.54
3 Mg 0.5000 0.5000 0.5000  4 Be 2.54, 4 Co 2.54
4 Co 0.7500 0.7500 0.7500  4 Mg 2.54, 4 Al 2.54

Values from the calculation:
Symmetry ... No. 216
Magnetization ... 0.0 μB/f.u.

***

The most stable arrangement is (ii), and the next structure is 40 meV/atom less stable.

***

(i)
BeAlCoNi | GGA-PBE | optimized geometry

Cell: 3.9200 3.9200 3.9200 Å, 60.00 60.00 60.00°
With the nearest neighbours (Å) after each atom.
Element x y z (fractional)
1 Ni 0.5000 0.5000 0.5000  4 Al 2.40, 4 Co 2.40
2 Be 0.0000 0.0000 0.0000  4 Co 2.40, 4 Al 2.40
3 Al 0.2500 0.2500 0.2500  4 Ni 2.40, 4 Be 2.40
4 Co 0.7500 0.7500 0.7500  4 Be 2.40, 4 Ni 2.40

Values from the calculation:
Symmetry ... No. 216
Magnetization ... 0.4 μB/f.u.

***

(ii)
BeAlCoNi | GGA-PBE | optimized geometry

Cell: 3.8797 3.8797 3.8797 Å, 60.00 60.00 60.00°
With the nearest neighbours (Å) after each atom.
Element x y z (fractional)
1 Ni 0.5000 0.5000 0.5000  4 Al 2.38, 4 Be 2.38
2 Al 0.2500 0.2500 0.2500  4 Ni 2.38, 4 Co 2.38
3 Be 0.7500 0.7500 0.7500  4 Co 2.38, 4 Ni 2.38
4 Co 0.0000 0.0000 0.0000  4 Be 2.38, 4 Al 2.38

Values from the calculation:
Symmetry ... No. 216
Magnetization ... 0.0 μB/f.u.

***

The most stable arrangement is (ii), and the next structure is 247 meV/atom less stable.

***

(i)
BeAlCoPb | GGA-PBE | optimized geometry

Cell: 4.4672 4.4672 4.4672 Å, 60.00 60.00 60.00°
With the nearest neighbours (Å) after each atom.
Element x y z (fractional)
1 Al 0.2500 0.2500 0.2500  4 Co 2.74, 4 Pb 2.74
2 Pb 0.5000 0.5000 0.5000  4 Be 2.74, 4 Al 2.74
3 Co 0.0000 0.0000 0.0000  4 Al 2.74, 4 Be 2.74
4 Be 0.7500 0.7500 0.7500  4 Pb 2.74, 4 Co 2.74

Values from the calculation:
Symmetry ... No. 216
Magnetization ... 0.0 μB/f.u.

***

(ii)
BeAlCoPb | GGA-PBE | optimized geometry

Cell: 4.4051 4.4051 4.4051 Å, 60.00 60.00 60.00°
With the nearest neighbours (Å) after each atom.
Element x y z (fractional)
1 Pb 0.5000 0.5000 0.5000  4 Be 2.70, 4 Co 2.70
2 Co 0.2500 0.2500 0.2500  4 Pb 2.70, 4 Al 2.70
3 Al 0.0000 0.0000 0.0000  4 Be 2.70, 4 Co 2.70
4 Be 0.7500 0.7500 0.7500  4 Pb 2.70, 4 Al 2.70

Values from the calculation:
Symmetry ... No. 216
Magnetization ... 0.0 μB/f.u.

***

The most stable arrangement is (ii), and the next structure is 138 meV/atom less stable.

***

(i)
BeAlCoTc | GGA-PBE | optimized geometry

Cell: 4.0462 4.0462 4.0462 Å, 60.00 60.00 60.00°
With the nearest neighbours (Å) after each atom.
Element x y z (fractional)
1 Al 0.0000 0.0000 0.0000  4 Tc 2.48, 4 Co 2.48
2 Tc 0.2500 0.2500 0.2500  4 Be 2.48, 4 Al 2.48
3 Co 0.7500 0.7500 0.7500  4 Be 2.48, 4 Al 2.48
4 Be 0.5000 0.5000 0.5000  4 Tc 2.48, 4 Co 2.48

Values from the calculation:
Symmetry ... No. 216
Magnetization ... 1.3 μB/f.u.

***

(ii)
BeAlCoTc | GGA-PBE | optimized geometry

Cell: 4.0639 4.0639 4.0639 Å, 60.00 60.00 60.00°
With the nearest neighbours (Å) after each atom.
Element x y z (fractional)
1 Al 0.0000 0.0000 0.0000  4 Be 2.49, 4 Co 2.49
2 Co 0.7500 0.7500 0.7500  4 Tc 2.49, 4 Al 2.49
3 Tc 0.5000 0.5000 0.5000  4 Co 2.49, 4 Be 2.49
4 Be 0.2500 0.2500 0.2500  4 Al 2.49, 4 Tc 2.49

Values from the calculation:
Symmetry ... No. 216
Magnetization ... 2.3 μB/f.u.

***

The most stable arrangement is (ii), and the next structure is 9 meV/atom less stable.

***

(i)
BeAlCoW | GGA-PBE | optimized geometry

Cell: 4.1247 4.1247 4.1247 Å, 60.00 60.00 60.00°
With the nearest neighbours (Å) after each atom.
Element x y z (fractional)
1 Be 0.5000 0.5000 0.5000  4 Co 2.53, 4 W 2.53
2 W 0.2500 0.2500 0.2500  4 Be 2.53, 4 Al 2.53
3 Al 0.0000 0.0000 0.0000  4 Co 2.53, 4 W 2.53
4 Co 0.7500 0.7500 0.7500  4 Be 2.53, 4 Al 2.53

Values from the calculation:
Symmetry ... No. 216
Magnetization ... 2.2 μB/f.u.

***

(ii)
BeAlCoW | GGA-PBE | optimized geometry

Cell: 4.1152 4.1152 4.1152 Å, 60.00 60.00 60.00°
With the nearest neighbours (Å) after each atom.
Element x y z (fractional)
1 Be 0.2500 0.2500 0.2500  4 W 2.52, 4 Al 2.52
2 W 0.5000 0.5000 0.5000  4 Be 2.52, 4 Co 2.52
3 Co 0.7500 0.7500 0.7500  4 W 2.52, 4 Al 2.52
4 Al 0.0000 0.0000 0.0000  4 Co 2.52, 4 Be 2.52

Values from the calculation:
Symmetry ... No. 216
Magnetization ... 2.0 μB/f.u.

***

The most stable arrangement is (ii), and the next structure is 177 meV/atom less stable.

***

(i)
BeAl2Cu5 | GGA-PBE | optimized geometry

Cell: 4.0477 4.0477 5.7810 Å, 90.00 90.00 90.00°
With the nearest neighbours (Å) after each atom.
Element x y z (fractional)
1 Be 0.0000 0.0000 0.5000  8 Cu 2.44
2 Al 0.0000 0.0000 0.0000  8 Cu 2.53
3 Al 0.5000 0.5000 0.5000  8 Cu 2.44
4 Cu 0.5000 0.0000 0.2631  4 Al 2.44-2.53, 2 Be 2.44, 2 Cu 2.53
5 Cu 0.5000 0.5000 0.0000  8 Cu 2.53
6 Cu 0.5000 0.0000 0.7369  4 Al 2.44-2.53, 2 Be 2.44, 2 Cu 2.53
7 Cu 0.0000 0.5000 0.7369  4 Al 2.44-2.53, 2 Be 2.44, 2 Cu 2.53
8 Cu 0.0000 0.5000 0.2631  4 Al 2.44-2.53, 2 Be 2.44, 2 Cu 2.53

Values from the calculation:
Symmetry ... No. 123

***

(ii)
BeAl2Cu5 | GGA-PBE | optimized geometry

Cell: 7.0673 7.0673 7.0673 Å, 132.45 132.45 69.52°
With the nearest neighbours (Å) after each atom.
Element x y z (fractional)
1 Cu 0.2500 0.2500 0.0000  8 Cu 2.56, 6 Al 2.78-2.85
2 Cu 0.8750 0.3986 0.0236  2 Be 2.41, 4 Al 2.49, 3 Cu 2.56-2.58
3 Cu 0.5000 0.0000 0.5000  8 Cu 2.56, 6 Al 2.78-2.85
4 Cu 0.3750 0.8514 0.9764  2 Be 2.41, 4 Al 2.49, 3 Cu 2.56-2.58
5 Cu 0.6486 0.1250 0.0236  2 Be 2.41, 4 Al 2.49, 3 Cu 2.56-2.58
6 Cu 0.1014 0.6250 0.9764  2 Be 2.41, 4 Al 2.49, 3 Cu 2.56-2.58
7 Cu 0.3750 0.3986 0.5236  2 Be 2.41, 4 Al 2.49, 3 Cu 2.56-2.58
8 Cu 0.6486 0.6250 0.5236  2 Be 2.41, 4 Al 2.49, 3 Cu 2.56-2.58
9 Cu 0.1014 0.1250 0.4764  2 Be 2.41, 4 Al 2.49, 3 Cu 2.56-2.58
10 Cu 0.8750 0.8514 0.4764  2 Be 2.41, 4 Al 2.49, 3 Cu 2.56-2.58
11 Al 0.4891 0.4891 0.0000  9 Cu 2.49-2.78
12 Al 0.0109 0.0109 0.0000  9 Cu 2.49-2.78
13 Al 0.7391 0.2391 0.5000  9 Cu 2.49-2.78
14 Al 0.2609 0.7609 0.5000  9 Cu 2.49-2.78
15 Be 0.7500 0.7500 0.0000  8 Cu 2.41
16 Be 0.0000 0.5000 0.5000  8 Cu 2.41

Values from the calculation:
Symmetry ... No. 141

***

The most stable arrangement is (ii), and the next structure is 9 meV/atom less stable.